No. 1
First-principles (PBE) data for a relaxed ZrMn5Al crystal, as listed in the Alexandria database.

Cell: 7.9499 4.6856 10.0234 Å, 90.00 90.00 90.00°
Space group Pnma (No. 62)
Asymmetric unit:
1 Zr 0.2386 0.2500 0.0596
2 Mn 0.0503 0.7500 0.1030
3 Mn 0.0712 0.0190 0.3131
4 Mn 0.0890 0.2500 0.5317
5 Mn 0.1919 0.2500 0.7496
6 Al 0.1346 0.7500 0.8595

Output
- M_tot: 0.23 μB per atom
- VASP energy: -8.458 eV/atom

No. 2
First-principles (PBE) data for a relaxed Zr2MnAl crystal, as listed in the Alexandria database.

Cell: 3.2255 3.2255 7.1389 Å, 90.00 90.00 90.00°
Space group P4mm (No. 99)
Asymmetric unit:
1 Zr 0.0000 0.0000 0.0000
2 Zr 0.5000 0.5000 0.3061
3 Mn 0.5000 0.5000 0.7663
4 Al 0.0000 0.0000 0.5803

Output
- M_tot: 0.56 μB per atom
- VASP energy: -7.632 eV/atom

No. 3
First-principles (PBE) data for a relaxed Zr2MnAl3 crystal, as listed in the Alexandria database.

Cell: 5.3072 5.3072 12.7582 Å, 90.00 90.00 120.00°
Space group R-3m (No. 166, hexagonal axes)
Asymmetric unit:
1 Zr 0.0000 0.0000 0.1280
2 Mn 0.0000 0.0000 0.5000
3 Al 0.0000 0.5000 0.0000

Output
- M_tot: 0.33 μB per atom
- VASP energy: -6.704 eV/atom

| no. | ΔH_f (0 K) (eV/f.u.) |
| --- | --- |
| 1 | -1.1 |
| 2 | -0.5 |
| 3 | -2.7 |